# 1
DFT (PBE) results for a relaxed LiCa2Sc crystal.

Energy of formation   185 meV/atom
E_tot   -2.88 eV per atom
Polymorph energy (0 for the lowest one)   31 meV/atom

Lattice parameters (Å, degrees): 11.522 11.522 11.522 18.08 18.08 18.08
Site moments in Bohr magnetons follow the coordinates.
Atoms (fractional coordinates):
Ca1 0.000 0.000 0.000  0.03
Ca2 0.500 0.500 0.500  0.03
Li1 0.250 0.250 0.250  0.00
Sc1 0.750 0.750 0.750  0.41

---

# 2
DFT (PBE) results for a relaxed LiCaSc3 crystal.

Energy of formation   487 meV/atom
E_tot   -4.10 eV per atom
Polymorph energy (0 for the lowest one)   0 meV/atom

Lattice parameters (Å, degrees): 5.178 5.178 5.178 90.00 90.00 90.00
Site moments in Bohr magnetons follow the coordinates.
Atoms (fractional coordinates):
Sc1 0.000 0.500 0.000  0.17
Sc2 0.000 0.000 0.500  0.17
Sc3 0.500 0.000 0.000  0.13
Ca1 0.500 0.500 0.500  0.04
Li1 0.000 0.000 0.000  0.01

---

# 3
DFT (PBE) results for a relaxed LiCa2Sc crystal.

Energy of formation   157 meV/atom
E_tot   -2.91 eV per atom
Polymorph energy (0 for the lowest one)   3 meV/atom

Lattice parameters (Å, degrees): 3.703 3.703 9.062 90.00 90.00 90.00
Site moments in Bohr magnetons follow the coordinates.
Atoms (fractional coordinates):
Ca1 0.000 0.000 0.971  0.04
Ca2 0.500 0.500 0.299  0.04
Li1 0.000 0.000 0.528  0.02
Sc1 0.500 0.500 0.701  0.34

---

# 4
DFT (PBE) results for a relaxed LiCaSc2 crystal.

Energy of formation   250 meV/atom
E_tot   -3.89 eV per atom
Polymorph energy (0 for the lowest one)   117 meV/atom

Lattice parameters (Å, degrees): 6.570 6.570 3.283 78.20 78.20 122.78
Atoms (fractional coordinates):
Ca1 0.500 0.000 0.500
Li1 0.000 0.500 0.500
Sc1 0.000 0.000 0.000
Sc2 0.500 0.500 0.000

---

# 5
DFT (PBE) results for a relaxed LiCaSc4 crystal.

Energy of formation   332 meV/atom
E_tot   -4.54 eV per atom

Lattice parameters (Å, degrees): 6.220 6.220 6.220 60.00 60.00 60.00
Atoms (fractional coordinates):
Li1 0.000 0.000 0.000
Ca1 0.750 0.750 0.750
Sc1 0.875 0.375 0.375
Sc2 0.375 0.375 0.875
Sc3 0.375 0.875 0.375
Sc4 0.375 0.375 0.375

---

# 6
DFT (PBE) results for a relaxed Li4CaSc crystal.

Energy of formation   124 meV/atom
E_tot   -2.54 eV per atom

Lattice parameters (Å, degrees): 5.869 5.869 5.869 60.00 60.00 60.00
Atoms (fractional coordinates):
Li1 0.871 0.376 0.376
Li2 0.376 0.376 0.871
Li3 0.376 0.871 0.376
Li4 0.376 0.376 0.376
Ca1 0.000 0.000 0.000
Sc1 0.750 0.750 0.750

---

# 7
DFT (PBE) results for a relaxed LiCa2Sc crystal.

Energy of formation   183 meV/atom
E_tot   -2.88 eV per atom
Polymorph energy (0 for the lowest one)   29 meV/atom

Lattice parameters (Å, degrees): 6.771 6.771 6.771 148.14 129.56 60.91
Atoms (fractional coordinates):
Ca1 0.006 0.006 0.000
Ca2 0.726 0.226 0.500
Li1 0.490 0.490 0.000
Sc1 0.278 0.778 0.500

---

# 8
DFT (PBE) results for a relaxed Li2CaSc crystal.

Energy of formation   232 meV/atom
E_tot   -2.81 eV per atom
Polymorph energy (0 for the lowest one)   93 meV/atom

Lattice parameters (Å, degrees): 11.039 11.039 11.039 17.79 17.79 17.79
Site moments in Bohr magnetons follow the coordinates.
Atoms (fractional coordinates):
Ca1 0.750 0.750 0.750  0.01
Li1 0.995 0.995 0.995  0.01
Li2 0.505 0.505 0.505  0.01
Sc1 0.250 0.250 0.250  0.27

---

Computed density of states at the Fermi level (states/eV per atom) in order:
1.2273, 1.6665, 1.4714, 1.5245, 1.8744, 1.1581, 1.4873, 1.0808